[1]
# Na4Pu3F12 | the Alexandria database | PBE-GGA | relaxed
data_Na4Pu3F12
_chemical_formula_sum 'Na8 Pu6 F24'
_space_group_name_H-M_alt 'I m -3'
_space_group_IT_number 204
_space_group_name_Hall '-I 2 2 3'
_cell_length_a 8.536
_cell_length_b 8.536
_cell_length_c 8.536
_cell_angle_alpha 90.00
_cell_angle_beta 90.00
_cell_angle_gamma 90.00
loop_
_atom_site_label
_atom_site_fract_x
_atom_site_fract_y
_atom_site_fract_z
Na1 0.250 0.250 0.250
Pu1 0.000 0.000 0.500
F1 0.000 0.332 0.216
# ΔE_f (raw)   -3.114 eV per atom
# Total DFT energy (no corrections)   -6.84 eV per atom
# Crystal system   cubic

=====

[2]
# NaPu2F8 | the Alexandria database | PBE-GGA | relaxed
data_NaPu2F8
_chemical_formula_sum 'Na2 Pu4 F16'
_space_group_name_H-M_alt 'C 1 2/m 1'
_space_group_IT_number 12
_cell_length_a 11.217
_cell_length_b 7.339
_cell_length_c 4.113
_cell_angle_alpha 90.00
_cell_angle_beta 109.30
_cell_angle_gamma 90.00
loop_
_space_group_symop_operation_xyz
'x,y,z'
'-x,-y,-z'
'-x,y,-z'
'x,-y,z'
'x+1/2,y+1/2,z'
'-x+1/2,-y+1/2,-z'
'-x+1/2,y+1/2,-z'
'x+1/2,-y+1/2,z'
loop_
_atom_site_label
_atom_site_fract_x
_atom_site_fract_y
_atom_site_fract_z
Na1 0.000 0.000 0.000
Pu1 0.176 0.500 0.419
F1 0.058 0.500 0.805
F2 0.134 0.201 0.391
F3 0.215 0.000 0.975
# Polymorph energy (0 for the lowest one)   0 meV per atom
# ΔE_f (raw)   -3.419 eV per atom
# Total DFT energy (no corrections)   -7.51 eV per atom
# Crystal system   monoclinic

=====

[3]
# Na5Pu3F12 | the Alexandria database | PBE-GGA | relaxed
data_Na5Pu3F12
_chemical_formula_sum 'Na40 Pu24 F96'
_space_group_name_H-M_alt 'I a -3 d'
_space_group_IT_number 230
_space_group_name_Hall '-I 4bd 2c 3'
_cell_length_a 13.676
_cell_length_b 13.676
_cell_length_c 13.676
_cell_angle_alpha 90.00
_cell_angle_beta 90.00
_cell_angle_gamma 90.00
loop_
_atom_site_label
_atom_site_fract_x
_atom_site_fract_y
_atom_site_fract_z
Na1 0.000 0.000 0.000
Na2 0.000 0.250 0.375
Pu1 0.000 0.250 0.125
F1 0.020 0.069 0.655
# ΔE_f (raw)   -3.002 eV per atom
# Total DFT energy (no corrections)   -6.60 eV per atom
# Crystal system   cubic

=====

[4]
# Na2PuF6 | the Alexandria database | PBE-GGA | relaxed
data_Na2PuF6
_chemical_formula_sum 'Na4 Pu2 F12'
_space_group_name_H-M_alt 'P 42/m n m'
_space_group_IT_number 136
_space_group_name_Hall '-P 4n 2n'
_cell_length_a 5.271
_cell_length_b 5.271
_cell_length_c 10.617
_cell_angle_alpha 90.00
_cell_angle_beta 90.00
_cell_angle_gamma 90.00
loop_
_atom_site_label
_atom_site_fract_x
_atom_site_fract_y
_atom_site_fract_z
Na1 0.000 0.000 0.164
Pu1 0.000 0.000 0.500
F1 0.191 0.191 0.347
F2 0.209 0.209 0.000
# ΔE_f (raw)   -3.211 eV per atom
# Total DFT energy (no corrections)   -6.34 eV per atom
# Crystal system   tetragonal

=====

[5]
# Na4PuF10 | the Alexandria database | PBE-GGA | relaxed
data_Na4PuF10
_chemical_formula_sum 'Na8 Pu2 F20'
_space_group_name_H-M_alt 'I 4/m'
_space_group_IT_number 87
_space_group_name_Hall '-I 4'
_cell_length_a 8.755
_cell_length_b 8.755
_cell_length_c 5.408
_cell_angle_alpha 90.00
_cell_angle_beta 90.00
_cell_angle_gamma 90.00
loop_
_atom_site_label
_atom_site_fract_x
_atom_site_fract_y
_atom_site_fract_z
Na1 0.092 0.689 0.000
Pu1 0.000 0.000 0.500
F1 0.000 0.500 0.250
F2 0.102 0.174 0.270
# ΔE_f (raw)   -2.775 eV per atom
# Total DFT energy (no corrections)   -5.33 eV per atom
# Crystal system   tetragonal

=====

[6]
# NaPu6F12 | the Alexandria database | PBE-GGA | relaxed
data_NaPu6F12
_chemical_formula_sum 'Na3 Pu18 F36'
_space_group_name_H-M_alt 'R -3'
_space_group_IT_number 148
_space_group_name_Hall '-R 3'
_cell_length_a 12.9442
_cell_length_b 12.9442
_cell_length_c 7.7350
_cell_angle_alpha 90.00
_cell_angle_beta 90.00
_cell_angle_gamma 120.00
loop_
_atom_site_label
_atom_site_fract_x
_atom_site_fract_y
_atom_site_fract_z
Na1 0.0000 0.0000 0.0000
Pu1 0.0029 0.5480 0.2515
F1 0.0662 0.8588 0.8870
F2 0.0713 0.2260 0.3698
# ΔE_f (raw)   -2.898 eV per atom
# Total DFT energy (no corrections)   -8.68 eV per atom
# Crystal system   trigonal

=====

[7]
# Na2Pu2F7 | the Alexandria database | PBE-GGA | relaxed
data_Na2Pu2F7
_chemical_formula_sum 'Na4 Pu4 F14'
_space_group_name_H-M_alt 'C 1 2/m 1'
_space_group_IT_number 12
_cell_length_a 8.442
_cell_length_b 7.832
_cell_length_c 5.842
_cell_angle_alpha 90.00
_cell_angle_beta 90.10
_cell_angle_gamma 90.00
loop_
_space_group_symop_operation_xyz
'x,y,z'
'-x,-y,-z'
'-x,y,-z'
'x,-y,z'
'x+1/2,y+1/2,z'
'-x+1/2,-y+1/2,-z'
'-x+1/2,y+1/2,-z'
'x+1/2,-y+1/2,z'
loop_
_atom_site_label
_atom_site_fract_x
_atom_site_fract_y
_atom_site_fract_z
Na1 0.000 0.224 0.000
Pu1 0.225 0.000 0.500
F1 0.000 0.000 0.247
F2 0.000 0.500 0.500
F3 0.250 0.250 0.254
# Polymorph energy (0 for the lowest one)   0 meV per atom
# ΔE_f (raw)   -3.158 eV per atom
# Total DFT energy (no corrections)   -7.19 eV per atom
# Crystal system   monoclinic

=====

[8]
# NaPuF2 | the Alexandria database | PBE-GGA | relaxed
data_NaPuF2
_chemical_formula_sum 'Na1 Pu1 F2'
_space_group_name_H-M_alt 'P 4/m m m'
_space_group_IT_number 123
_space_group_name_Hall '-P 4 2'
_cell_length_a 4.759
_cell_length_b 4.759
_cell_length_c 2.963
_cell_angle_alpha 90.00
_cell_angle_beta 90.00
_cell_angle_gamma 90.00
loop_
_atom_site_label
_atom_site_fract_x
_atom_site_fract_y
_atom_site_fract_z
Na1 0.000 0.000 0.000
Pu1 0.500 0.500 0.000
F1 0.000 0.500 0.500
# Polymorph energy (0 for the lowest one)   301 meV per atom
# ΔE_f (raw)   -1.891 eV per atom
# Total DFT energy (no corrections)   -6.74 eV per atom
# Crystal system   tetragonal

=====

[9]
# NaPuF2 | the Alexandria database | PBE-GGA | relaxed
data_NaPuF2
_chemical_formula_sum 'Na3 Pu3 F6'
_space_group_name_H-M_alt 'R -3 m'
_space_group_IT_number 166
_space_group_name_Hall '-R 3 2"'
_cell_length_a 3.4820
_cell_length_b 3.4820
_cell_length_c 23.1629
_cell_angle_alpha 90.00
_cell_angle_beta 90.00
_cell_angle_gamma 120.00
loop_
_atom_site_label
_atom_site_fract_x
_atom_site_fract_y
_atom_site_fract_z
Na1 0.0000 0.0000 0.0000
Pu1 0.0000 0.0000 0.5000
F1 0.0000 0.0000 0.0992
# Polymorph energy (0 for the lowest one)   0 meV per atom
# ΔE_f (raw)   -2.192 eV per atom
# Total DFT energy (no corrections)   -7.04 eV per atom
# Crystal system   trigonal

=====

[10]
# NaPu2F11 | the Alexandria database | PBE-GGA | relaxed
data_NaPu2F11
_chemical_formula_sum 'Na4 Pu8 F44'
_space_group_name_H-M_alt 'I b a m'
_space_group_IT_number 72
_space_group_name_Hall '-I 2 2c'
_cell_length_a 9.209
_cell_length_b 9.940
_cell_length_c 10.919
_cell_angle_alpha 90.00
_cell_angle_beta 90.00
_cell_angle_gamma 90.00
loop_
_atom_site_label
_atom_site_fract_x
_atom_site_fract_y
_atom_site_fract_z
Na1 0.000 0.000 0.250
Pu1 0.164 0.333 0.000
F1 0.000 0.500 0.000
F2 0.072 0.217 0.134
F3 0.170 0.302 0.500
F4 0.223 0.062 0.369
# ΔE_f (raw)   -3.096 eV per atom
# Total DFT energy (no corrections)   -6.71 eV per atom
# Crystal system   orthorhombic

=====

[11]
# Na6PuF12 | the Alexandria database | PBE-GGA | relaxed
data_Na6PuF12
_chemical_formula_sum 'Na18 Pu3 F36'
_space_group_name_H-M_alt 'R -3'
_space_group_IT_number 148
_space_group_name_Hall '-R 3'
_cell_length_a 10.2927
_cell_length_b 10.2927
_cell_length_c 9.7895
_cell_angle_alpha 90.00
_cell_angle_beta 90.00
_cell_angle_gamma 120.00
loop_
_atom_site_label
_atom_site_fract_x
_atom_site_fract_y
_atom_site_fract_z
Na1 0.0070 0.7807 0.1225
Pu1 0.0000 0.0000 0.5000
F1 0.0054 0.7868 0.8890
F2 0.0095 0.8420 0.3800
# Polymorph energy (0 for the lowest one)   0 meV per atom
# ΔE_f (raw)   -2.715 eV per atom
# Total DFT energy (no corrections)   -5.07 eV per atom
# Crystal system   trigonal

=====

[12]
# Rb2Na3PuF12 | the Alexandria database | PBE-GGA | relaxed
data_Rb2Na3PuF12
_chemical_formula_sum 'Rb6 Na9 Pu3 F36'
_space_group_name_H-M_alt 'R -3 m'
_space_group_IT_number 166
_space_group_name_Hall '-R 3 2"'
_cell_length_a 7.7838
_cell_length_b 7.7838
_cell_length_c 21.3852
_cell_angle_alpha 90.00
_cell_angle_beta 90.00
_cell_angle_gamma 120.00
loop_
_atom_site_label
_atom_site_fract_x
_atom_site_fract_y
_atom_site_fract_z
Rb1 0.0000 0.0000 0.0886
Na1 0.0000 0.5000 0.0000
Pu1 0.0000 0.0000 0.5000
F1 0.0343 0.5171 0.3667
F2 0.0837 0.5419 0.1120
# ΔE_f (raw)   -2.524 eV per atom
# Total DFT energy (no corrections)   -4.90 eV per atom
# Crystal system   trigonal

=====

Which of these has the highest total DFT energy (no corrections)?
Rb2Na3PuF12

=====

ΔE_f (raw) of number 4 (Na2PuF6)?
-3.211 eV per atom